# RbVP2S7 (GGA-PBE, optimized geometry)
# ΔE_f (raw)	-6.53	eV per formula unit
# V	26.0	A^3/atom
data_RbVP2S7
_space_group_name_H-M_alt 'C 1 2 1'
_space_group_IT_number 5
_space_group_name_Hall 'C 2y'
_cell_length_a 8.678
_cell_length_b 9.775
_cell_length_c 6.810
_cell_angle_alpha 90.00
_cell_angle_beta 97.60
_cell_angle_gamma 90.00
loop_
_atom_site_label
_atom_site_fract_x
_atom_site_fract_y
_atom_site_fract_z
Rb1 0.000 0.000 0.000
V1 0.000 0.390 0.500
P1 0.199 0.743 0.578
S1 0.000 0.874 0.500
S2 0.137 0.570 0.711
S3 0.161 0.363 0.230
S4 0.186 0.230 0.665

# Rb2VPS (GGA-PBE, optimized geometry)
# ΔE_f (raw)	3.18	eV per formula unit
# V	37.4	A^3/atom
data_Rb2VPS
_space_group_name_H-M_alt 'P 4/m m m'
_space_group_IT_number 123
_space_group_name_Hall '-P 4 2'
_cell_length_a 6.439
_cell_length_b 6.439
_cell_length_c 4.515
_cell_angle_alpha 90.00
_cell_angle_beta 90.00
_cell_angle_gamma 90.00
loop_
_atom_site_label
_atom_site_fract_x
_atom_site_fract_y
_atom_site_fract_z
Rb1 0.000 0.500 0.000
V1 0.000 0.000 0.500
P1 0.500 0.500 0.500
S1 0.500 0.500 0.000

# RbVPS6 (GGA-PBE, optimized geometry)
# ΔE_f (raw)	-4.62	eV per formula unit
# V	25.4	A^3/atom
data_RbVPS6
_space_group_name_H-M_alt 'C 1 2 1'
_space_group_IT_number 5
_space_group_name_Hall 'C 2y'
_cell_length_a 5.845
_cell_length_b 11.190
_cell_length_c 7.120
_cell_angle_alpha 90.00
_cell_angle_beta 101.33
_cell_angle_gamma 90.00
loop_
_atom_site_label
_atom_site_fract_x
_atom_site_fract_y
_atom_site_fract_z
Rb1 0.000 0.000 0.000
V1 0.000 0.323 0.500
P1 0.000 0.617 0.500
S1 0.177 0.490 0.374
S2 0.220 0.726 0.695
S3 0.223 0.250 0.752

# RbPWS2 (GGA-PBE, optimized geometry)
# ΔE_f (raw)	-1.45	eV per formula unit
# relative energy among the computed polymorphs	0.0	meV/atom
# V	22.4	A^3/atom
data_RbPWS2
_space_group_name_H-M_alt 'P 4/m m m'
_space_group_IT_number 123
_space_group_name_Hall '-P 4 2'
_cell_length_a 4.834
_cell_length_b 4.834
_cell_length_c 4.784
_cell_angle_alpha 90.00
_cell_angle_beta 90.00
_cell_angle_gamma 90.00
loop_
_atom_site_label
_atom_site_fract_x
_atom_site_fract_y
_atom_site_fract_z
Rb1 0.000 0.000 0.000
P1 0.500 0.500 0.000
W1 0.500 0.500 0.500
S1 0.000 0.500 0.500

| no. | E_tot (eV per formula unit) |
| --- | --- |
| 1 | -56.32 |
| 2 | -17.41 |
| 3 | -44.88 |
| 4 | -29.03 |